Entry 1:
Na | Alexandria via LeMat-Bulk | meta-GGA SCAN | single point on PBEsol structure; space-group type = I4_1/amd, No. 141; energy of formation = 0.078 eV/atom; polymorph energy (0 for the lowest one) = 0.0777 eV/atom; DOS(E_F) = 0.47 states/eV/f.u.
1.0
-3.267 3.267 1.758
3.267 -3.267 1.758
3.267 3.267 -1.758
Na
2
Cartesian
3.267 1.634 0.440
0.000 1.634 1.319

---

Entry 2:
Na | Alexandria via LeMat-Bulk | meta-GGA SCAN | single point on PBEsol structure; space-group type = P4_132, No. 213; energy of formation = 0.012 eV/atom; polymorph energy (0 for the lowest one) = 0.0117 eV/atom; DOS(E_F) = 0.46 states/eV/f.u.
1.0
9.031 0.000 0.000
0.000 9.031 0.000
0.000 0.000 9.031
Na
20
Cartesian
0.428 1.129 7.201
0.559 8.471 3.956
1.129 7.201 0.428
1.698 1.698 1.698
1.830 4.943 3.386
2.685 4.088 7.902
2.817 7.332 6.214
3.386 1.830 4.943
3.956 0.559 8.471
4.088 7.902 2.685
4.943 3.386 1.830
5.075 5.075 5.075
5.644 6.345 8.603
6.214 2.817 7.332
6.345 8.603 5.644
7.201 0.428 1.129
7.332 6.214 2.817
7.902 2.685 4.088
8.471 3.956 0.559
8.603 5.644 6.345

---

Entry 3:
Na | Alexandria via LeMat-Bulk | meta-GGA SCAN | single point on PBEsol structure; space-group type = Fmmm, No. 69; energy of formation = 0.039 eV/atom; polymorph energy (0 for the lowest one) = 0.0387 eV/atom; DOS(E_F) = 0.45 states/eV/f.u.
1.0
0.000 3.055 6.432
1.882 0.000 6.432
1.882 3.055 0.000
Na
2
Cartesian
1.882 3.055 1.696
1.882 3.055 11.167

---

Entry 4:
Na | Alexandria via LeMat-Bulk | meta-GGA SCAN | single point on PBEsol structure; space-group type = Pm-3n, No. 223; energy of formation = 0.017 eV/atom; polymorph energy (0 for the lowest one) = 0.0167 eV/atom; DOS(E_F) = 0.40 states/eV/f.u.
1.0
6.629 0.000 0.000
0.000 6.629 0.000
0.000 0.000 6.629
Na
8
Cartesian
0.000 0.000 0.000
0.000 1.657 3.315
0.000 4.972 3.315
1.657 3.315 0.000
3.315 0.000 1.657
3.315 0.000 4.972
3.315 3.315 3.315
4.972 3.315 0.000

---

Entry 5:
Na | Alexandria via LeMat-Bulk | meta-GGA SCAN | single point on PBEsol structure; space-group type = Fm-3m, No. 225; energy of formation = 0.002 eV/atom; polymorph energy (0 for the lowest one) = 0.0018 eV/atom; DOS(E_F) = 0.45 states/eV/f.u.
1.0
0.000 2.628 2.628
2.628 0.000 2.628
2.628 2.628 0.000
Na
1
Cartesian
0.000 0.000 0.000

---

Entry 6:
Na | Alexandria via LeMat-Bulk | meta-GGA SCAN | single point on PBEsol structure; space-group type = Pnma, No. 62; energy of formation = 0.040 eV/atom; polymorph energy (0 for the lowest one) = 0.0399 eV/atom; DOS(E_F) = 0.46 states/eV/f.u.
1.0
9.181 0.000 0.000
0.000 3.603 0.000
0.000 0.000 9.073
Na
8
Cartesian
0.055 0.901 1.641
1.664 0.901 4.735
2.927 2.702 0.198
4.536 2.702 6.178
4.646 0.901 2.896
6.254 0.901 8.875
7.518 2.702 4.338
9.126 2.702 7.432

---

Entry 7:
Na | Alexandria via LeMat-Bulk | meta-GGA SCAN | single point on PBEsol structure; space-group type = Fd-3m, No. 227; energy of formation = 0.378 eV/atom; polymorph energy (0 for the lowest one) = 0.3777 eV/atom; DOS(E_F) = 0.53 states/eV/f.u.
1.0
0.000 3.732 3.732
3.732 0.000 3.732
3.732 3.732 0.000
Na
2
Cartesian
0.933 0.933 0.933
6.532 6.532 6.532

---

Entry 8:
Na3NdTi2Nb2O12 | Alexandria via LeMat-Bulk | meta-GGA SCAN | single point on PBEsol structure; space-group type = P1, No. 1; DOS(E_F) = 0.00 states/eV/f.u.; energy relative to the elements, uncorrected = -2.9718 eV per atom
1.0
5.452 0.000 0.000
0.008 5.521 0.000
0.006 0.002 7.762
Na Nd Ti Nb O
3 1 2 2 12
Cartesian
0.000 0.000 0.000
0.047 5.262 3.896
2.697 2.703 0.023
2.678 2.442 3.898
2.768 5.363 5.819
5.420 2.610 1.996
2.756 5.368 1.860
5.433 2.651 5.923
0.314 2.593 0.048
1.172 1.218 2.323
1.189 1.202 5.461
1.569 3.875 2.256
1.590 3.903 5.534
2.345 5.487 7.740
3.074 0.030 3.910
3.801 1.599 5.989
3.825 1.619 1.810
4.280 4.345 6.094
4.311 4.313 1.668
5.031 2.856 3.874

---

Entry 9:
Na2NbNiP | Alexandria via LeMat-Bulk | meta-GGA SCAN | single point on PBEsol structure; space-group type = P4/mmm, No. 123; energy of formation = 1.528 eV/atom; DOS(E_F) = 2.64 states/eV/f.u.
1.0
5.591 0.000 0.000
0.000 5.591 0.000
0.000 0.000 4.399
Na Nb Ni P
2 1 1 1
Cartesian
0.000 2.795 0.000
2.795 0.000 0.000
0.000 0.000 0.000
0.000 0.000 2.200
2.795 2.795 2.200

---

Entry 10:
NaNbNi2Pd | Alexandria via LeMat-Bulk | meta-GGA SCAN | single point on PBEsol structure; space-group type = P4/mmm, No. 123; energy of formation = 0.992 eV/atom; DOS(E_F) = 2.41 states/eV/f.u.
1.0
4.678 0.000 0.000
0.000 4.678 0.000
0.000 0.000 4.693
Na Nb Ni Pd
1 1 2 1
Cartesian
0.000 0.000 0.000
2.339 2.339 0.000
0.000 2.339 2.346
2.339 0.000 2.346
2.339 2.339 2.346

---

Entry 11:
NaNb10O18 | Alexandria via LeMat-Bulk | meta-GGA SCAN | single point on PBEsol structure; space-group type = P2_1/c, No. 14; DOS(E_F) = 0.27 states/eV/f.u.; energy relative to the elements, uncorrected = -2.5570 eV per atom
1.0
7.848 0.000 0.000
0.000 9.408 0.000
-3.564 0.000 9.658
Na Nb O
2 20 36
Cartesian
0.000 0.000 0.000
-1.782 4.704 4.829
-2.354 1.098 6.460
-0.572 3.606 1.631
0.988 5.922 1.190
-0.794 8.189 6.019
-0.161 1.188 4.637
-1.943 3.515 9.466
2.149 1.078 2.618
0.367 3.626 7.447
1.560 5.912 4.228
-0.222 8.200 9.057
4.506 1.208 0.601
2.724 3.496 5.430
3.917 5.782 2.211
2.135 8.329 7.040
6.227 5.892 0.192
4.445 8.219 5.021
5.078 1.218 3.639
3.296 3.485 8.468
4.856 5.802 8.027
6.638 8.310 3.198
-2.949 2.261 8.183
-1.167 2.443 3.354
0.474 0.051 2.909
-1.308 4.653 7.738
-0.095 7.035 4.449
-1.877 7.076 9.278
0.488 4.803 2.937
-1.294 9.308 7.766
1.074 2.325 1.405
-0.708 2.379 6.234
2.742 0.058 0.955
0.960 4.646 5.784
2.764 4.726 1.022
0.982 9.386 5.851
2.246 6.945 2.629
0.464 7.166 7.458
1.721 2.304 4.179
-0.061 2.399 9.008
4.345 7.008 0.650
2.563 7.103 5.479
3.820 2.241 2.200
2.038 2.462 7.029
3.302 0.022 3.807
1.520 4.682 8.636
3.324 4.762 3.874
1.542 9.350 8.703
4.992 7.029 3.424
3.210 7.082 8.253
5.578 0.100 1.892
3.796 4.604 6.721
6.161 2.332 0.380
4.379 2.372 5.209
5.592 4.755 1.920
3.810 9.357 6.749
5.451 6.965 6.304
7.233 7.147 1.475

---

Entry 12:
NaNb2O4 | Alexandria via LeMat-Bulk | meta-GGA SCAN | single point on PBEsol structure; space-group type = P-3m1, No. 164; polymorph energy (0 for the lowest one) = 0.0940 eV/atom; DOS(E_F) = 3.65 states/eV/f.u.; energy relative to the elements, uncorrected = -2.3736 eV per atom
1.0
2.981 0.000 0.000
-1.490 2.581 0.000
0.000 0.000 10.691
Na Nb O
1 2 4
Cartesian
0.000 0.000 0.000
0.000 1.721 7.790
1.490 0.860 2.901
0.000 1.721 1.584
0.000 1.721 4.042
1.490 0.860 6.649
1.490 0.860 9.107

---

Entry 13:
NaNb14O36 | Alexandria via LeMat-Bulk | meta-GGA SCAN | single point on PBEsol structure; space-group type = Immm, No. 71; DOS(E_F) = 19.77 states/eV/f.u.; energy relative to the elements, uncorrected = -2.6595 eV per atom
1.0
-1.933 7.210 13.233
1.933 -7.210 13.233
1.933 7.210 -13.233
Na Nb O
1 14 36
Cartesian
0.000 0.000 0.000
1.933 1.718 -2.742
1.933 4.423 -5.487
0.000 0.000 5.012
1.933 1.718 2.742
1.933 4.529 0.000
0.000 0.000 10.451
0.000 2.786 7.746
1.933 4.423 5.487
0.000 0.000 16.015
0.000 2.680 13.233
0.000 5.492 10.491
0.000 0.000 21.453
0.000 2.786 18.720
0.000 5.492 15.975
1.933 5.825 -10.068
1.933 2.969 -4.272
1.933 0.000 1.683
1.933 -3.013 7.266
1.933 5.810 -7.067
1.933 2.877 -1.359
1.933 0.000 4.393
0.000 1.385 3.165
1.933 5.792 -4.265
1.933 2.877 1.359
0.000 4.285 0.000
0.000 1.400 6.165
1.933 5.775 -1.441
1.933 2.969 4.272
1.933 0.000 10.339
0.000 1.418 8.968
1.933 5.775 1.441
1.933 3.013 7.266
0.000 4.196 5.967
0.000 1.434 11.792
1.933 5.792 4.265
0.000 7.210 2.893
0.000 4.241 8.961
0.000 1.434 14.674
1.933 5.810 7.067
0.000 10.134 0.000
0.000 4.333 11.873
0.000 1.418 17.498
1.933 5.825 10.068
0.000 7.210 8.840
0.000 4.333 14.592
0.000 1.400 20.300
0.000 10.223 5.967
0.000 7.210 11.550
0.000 4.241 17.504
0.000 1.385 23.300

---

Entry 14:
NaNb6O16 | Alexandria via LeMat-Bulk | meta-GGA SCAN | single point on PBEsol structure; space-group type = Amm2, No. 38; DOS(E_F) = 7.63 states/eV/f.u.; energy relative to the elements, uncorrected = -2.5928 eV per atom
1.0
3.892 0.000 0.000
0.000 5.218 7.435
0.000 -5.218 7.435
Na Nb O
1 6 16
Cartesian
0.000 0.000 0.000
1.946 -3.325 5.097
1.946 0.000 2.796
1.946 0.000 5.990
1.946 -1.929 8.750
1.946 3.325 5.097
1.946 1.929 8.750
0.000 -3.414 5.408
0.000 0.000 2.583
0.000 0.000 5.930
0.000 -1.836 8.665
0.000 3.414 5.408
0.000 1.836 8.665
1.946 -1.291 4.296
1.946 -3.836 8.745
1.946 -1.999 6.625
1.946 1.291 4.296
1.946 0.000 8.049
1.946 -1.570 10.656
1.946 1.999 6.625
1.946 1.570 10.656
1.946 0.000 13.146
1.946 3.836 8.745

---

Entry 15:
NaNb2O4 | Alexandria via LeMat-Bulk | meta-GGA SCAN | single point on PBEsol structure; space-group type = Pbcm, No. 57; polymorph energy (0 for the lowest one) = 0.0000 eV/atom; DOS(E_F) = 5.06 states/eV/f.u.; energy relative to the elements, uncorrected = -2.4676 eV per atom
1.0
5.106 0.000 0.000
0.000 12.096 0.000
0.000 0.000 5.900
Na Nb O
4 8 16
Cartesian
0.983 0.044 1.475
0.983 6.004 4.425
4.123 6.092 1.475
4.123 12.052 4.425
0.811 9.039 1.475
0.811 9.105 4.425
1.755 3.024 0.000
1.755 3.024 2.950
3.351 9.072 0.000
3.351 9.072 2.950
4.294 2.991 1.475
4.294 3.057 4.425
0.044 1.776 2.965
0.044 1.776 5.885
0.044 4.272 0.015
0.044 4.272 2.935
2.488 7.855 4.425
2.488 10.288 1.475
2.527 7.829 1.475
2.527 10.315 4.425
2.579 1.781 1.475
2.579 4.267 4.425
2.617 1.808 4.425
2.617 4.240 1.475
5.061 7.824 2.965
5.061 7.824 5.885
5.061 10.319 0.015
5.061 10.319 2.935

---

Entry 16:
Na8NbO6 | Alexandria via LeMat-Bulk | meta-GGA SCAN | single point on PBEsol structure; space-group type = P6_3cm, No. 185; DOS(E_F) = 1.75 states/eV/f.u.; energy relative to the elements, uncorrected = -1.7208 eV per atom
1.0
6.444 0.000 0.000
-3.222 5.581 0.000
0.000 0.000 13.163
Na Nb O
16 2 12
Cartesian
-0.977 1.693 0.000
-1.294 2.242 8.463
-1.928 3.339 1.882
-2.245 3.888 6.582
1.955 0.000 0.000
0.977 1.693 6.582
0.000 3.720 4.751
0.000 3.720 11.332
2.589 0.000 8.463
1.294 2.242 1.882
3.855 0.000 1.882
1.928 3.339 8.463
3.222 1.860 4.751
3.222 1.860 11.332
4.490 0.000 6.582
2.245 3.888 0.000
0.000 0.000 3.682
0.000 0.000 10.264
0.000 0.000 1.782
0.000 0.000 8.363
-0.909 1.574 10.765
-2.313 4.006 4.183
1.818 0.000 10.765
0.909 1.574 4.183
0.000 3.720 0.611
0.000 3.720 7.193
3.222 1.860 0.611
3.222 1.860 7.193
4.626 0.000 4.183
2.313 4.006 10.765

---

Entry 17:
Na12NbO7 | Alexandria via LeMat-Bulk | meta-GGA SCAN | single point on PBEsol structure; space-group type = R-3, No. 148; DOS(E_F) = 3.56 states/eV/f.u.; energy relative to the elements, uncorrected = -1.4692 eV per atom
1.0
5.939 3.429 2.862
-5.939 3.429 2.862
0.000 -6.858 2.862
Na Nb O
12 1 7
Cartesian
-0.377 -1.595 1.536
-1.193 1.124 1.536
-2.336 -2.280 4.150
-3.142 0.883 4.436
1.570 0.471 1.536
0.806 -3.163 4.436
-0.806 3.163 4.150
-1.570 -0.471 7.051
3.142 -0.883 4.150
2.336 2.280 4.436
1.193 -1.124 7.051
0.377 1.595 7.051
0.000 0.000 4.293
0.000 0.000 0.000
-1.647 -0.418 3.125
1.185 -1.217 3.125
0.461 1.635 3.125
-0.461 -1.635 5.462
-1.185 1.217 5.462
1.647 0.418 5.462

---

Q: Which magnetic moment values were calculated for the entries above? A: 0.00, 0.00, 0.00, 0.00, 0.00, 0.00, 0.00, 0.00, 2.02, 3.60, 0.96, 0.00, 1.00, 0.00, 0.00, 0.00, 0.63, in μB/f.u..